First-principles (PBE) data for a geometry-optimized BaCaAs2 structure, as listed in Alexandria.

Calculated values
formation enthalpy at 0 K	-3.72	eV per formula unit
offset from the most stable computed form	0	meV/atom
SG	No. 8

a = 11.4140 Å, b = 4.4394 Å, c = 4.8683 Å
α = 90.00°, β = 98.50°, γ = 90.00°
Closest atoms and distances in Å follow each position.
Element x y z (fractional)
1 Ba 0.0000 0.0000 0.0000  7 As 3.13-3.45
2 Ba 0.5000 0.5000 0.0000  7 As 3.13-3.45
3 Ca 0.2550 0.0000 0.4995  5 As 3.04-3.30
4 Ca 0.7550 0.5000 0.4995  5 As 3.04-3.30
5 As 0.0437 0.5000 0.5327  1 As 2.53
6 As 0.2227 0.5000 0.9069  1 As 2.53
7 As 0.5437 0.0000 0.5327  1 As 2.53
8 As 0.7227 0.0000 0.9069  1 As 2.53